Below is a relaxed structure of AgSn2Bi, with properties calculated at the PBE level.

Computed properties:
Formation enthalpy at 0 K = 11.1 kJ/mol of atoms

abc: 4.4856 4.4856 5.2858
angles: 90.00 90.00 90.00
With the nearest neighbours (Å) after each atom.
Space group P4/mmm (No. 123)
Unique sites:
Ag (0.0000, 0.0000, 0.0000) [1 per cell]  4 Bi 3.17, 8 Sn 3.47
Sn (0.0000, 0.5000, 0.5000) [2 per cell]  4 Sn 3.17, 4 Bi 3.47, 4 Ag 3.47
Bi (0.5000, 0.5000, 0.0000) [1 per cell]  4 Ag 3.17, 8 Sn 3.47